Entry 1:
Compound: Tb2Ho2Er5
Source: Alexandria
Functional: PBE
Structure: relaxed

```
Tb2Ho2Er5
1.0
-7.3779 5.7967 3.3239
7.3779 -5.7967 3.3239
7.3779 5.7967 -3.3239
Tb Ho Er
4 4 10
direct
0.0000 0.0000 0.0000
0.0000 0.5000 0.5000
0.8852 0.6486 0.7366
0.9120 0.1486 0.2634
0.4444 0.5778 0.1211
0.4444 0.8233 0.3666
0.4567 0.0778 0.6334
0.4567 0.3233 0.8789
0.0430 0.3523 0.7961
0.0430 0.7470 0.1907
0.3533 0.8579 0.9954
0.3558 0.2599 0.3811
0.3558 0.4747 0.5959
0.5562 0.2470 0.2039
0.5562 0.8523 0.8093
0.8626 0.3579 0.0046
0.8788 0.7599 0.4041
0.8788 0.9747 0.6189
```

Computed properties:
- Total magnetization: 0.0 μB/f.u.
- E: -4.353 eV/atom
- ΔE to the lowest computed polymorph: 3.78 kcal/mol of atoms
- Formation energy: 0.228 eV/atom
- DOS(E_F): 29.7 states/eV/cell

Entry 2:
Compound: DyPaRh
Source: Alexandria
Functional: PBE
Structure: relaxed

```
DyPaRh
1.0
3.5621 0.0000 0.0000
0.0000 3.5621 0.0000
0.0000 0.0000 10.9669
Dy Pa Rh
2 2 2
direct
0.0000 0.0000 0.0000
0.5000 0.5000 0.5000
0.0000 0.0000 0.2984
0.5000 0.5000 0.7984
0.0000 0.0000 0.6861
0.5000 0.5000 0.1861
```

Computed properties:
- Total magnetization: 0.0 μB/f.u.
- E: -7.608 eV/atom
- ΔE to the lowest computed polymorph: 0.00 kcal/mol of atoms
- Formation energy: -0.458 eV/atom
- DOS(E_F): 8.2 states/eV/cell

Entry 3:
Compound: BPOs
Source: Alexandria
Functional: PBE
Structure: relaxed

```
BPOs
1.0
2.9218 0.0000 0.0000
0.0000 6.5344 0.0000
-0.9419 0.0000 4.0455
B P Os
2 2 2
direct
0.2336 0.0000 0.4863
0.7664 0.5000 0.5137
0.3979 0.3080 0.1405
0.6021 0.8080 0.8595
0.2463 0.7056 0.2940
0.7537 0.2056 0.7060
```

Computed properties:
- Total magnetization: 0.0 μB/f.u.
- E: -7.560 eV/atom
- Formation energy: 0.213 eV/atom

Entry 4:
Compound: LiNdPuPt
Source: Alexandria
Functional: PBE
Structure: relaxed

```
LiNdPuPt
1.0
7.1606 0.0000 0.0000
0.0000 7.1606 0.0000
0.0000 0.0000 7.1606
Li Nd Pu Pt
4 4 4 4
direct
0.0000 0.0000 0.0000
0.0000 0.5000 0.5000
0.5000 0.0000 0.5000
0.5000 0.5000 0.0000
0.2500 0.2500 0.2500
0.2500 0.7500 0.7500
0.7500 0.2500 0.7500
0.7500 0.7500 0.2500
0.2500 0.2500 0.7500
0.2500 0.7500 0.2500
0.7500 0.2500 0.2500
0.7500 0.7500 0.7500
0.0000 0.0000 0.5000
0.0000 0.5000 0.0000
0.5000 0.0000 0.0000
0.5000 0.5000 0.5000
```

Computed properties:
- Total magnetization: 5.8 μB/f.u.
- E: -7.154 eV/atom
- Formation energy: -0.390 eV/atom
- DOS(E_F): 27.2 states/eV/cell